The following is a PBE calculation of Tb3Ce2SmP6 after structural relaxation, from Alexandria via LeMat-Bulk. Values from VASP.

```
&SYSTEM
  ibrav = 0, nat = 12, ntyp = 4
/
ATOMIC_SPECIES
Tb 158.93 Tb.upf
Ce 140.12 Ce.upf
Sm 150.36 Sm.upf
P 30.97 P.upf
CELL_PARAMETERS angstrom
3.5159 -6.0891 0.0000
3.5159 6.0891 0.0000
-2.3441 0.0000 6.6185
ATOMIC_POSITIONS crystal
Tb 0.0000 0.0000 0.0000
Tb 0.3339 0.6661 0.0000
Tb 0.6661 0.3339 0.0000
Ce 0.1668 0.8332 0.5000
Ce 0.8332 0.1668 0.5000
Sm 0.5000 0.5000 0.5000
P 0.0797 0.4161 0.2483
P 0.2479 0.2479 0.7526
P 0.4161 0.0797 0.2483
P 0.5839 0.9203 0.7517
P 0.7521 0.7521 0.2474
P 0.9203 0.5839 0.7517
```

Computed properties:
- Final energy: -6.8201 eV per atom
- DFT formation energy: -1.575 eV/atom
- Space-group type: C2/m (12)